Density functional theory data (PBE) for a relaxed K4P2Pb crystal.

ΔH_f (0 K) = 45.4 kJ/mol of formula units
magnetization = 7.2 μB per cell
total DFT energy (no corrections) = -2.6354 eV per atom

a = 6.9231 Å, b = 6.9231 Å, c = 15.1988 Å
α = 90.00°, β = 90.00°, γ = 90.00°
Last column: nearest neighbours and their distance in Å.
Space group I4/mmm (No. 139)
One atom of each set of equivalent atoms:
K 0.0000 0.0000 0.2311 x4  1 P 3.06
K 0.0000 0.5000 0.0000 x4  2 Pb 3.46, 4 P 3.61
P 0.0000 0.0000 0.4325 x4  1 P 2.05
Pb 0.0000 0.0000 0.0000 x2  6 K 3.46-3.51